The following is a DFT calculation (GGA+U) of a geometry-optimized V2Cu3PbCl2O8 structure.

Values from the calculation:
SG: Ibam
Electronic total energy (Ry per atom): -0.430

Cell lengths 8.642, 8.642, 8.642 Å; angles 114.20, 116.51, 98.27 degrees
Sites, in units of the cell vectors:
V 0.795 0.045 0.250
V 0.795 0.545 0.750
V 0.205 0.955 0.750
V 0.205 0.455 0.250
Cu 0.000 0.000 0.000
Cu 0.580 0.831 0.749
Cu 0.420 0.169 0.251
Cu 0.918 0.669 0.249
Cu 0.000 0.500 0.500
Cu 0.082 0.331 0.751
Pb 0.500 0.750 0.250
Pb 0.500 0.250 0.750
Cl 0.766 0.082 0.684
Cl 0.398 0.582 0.816
Cl 0.234 0.918 0.316
Cl 0.602 0.418 0.184
O 0.415 0.642 0.459
O 0.792 0.023 0.036
O 0.792 0.757 0.770
O 0.585 0.358 0.541
O 0.183 0.456 0.041
O 0.208 0.977 0.964
O 0.585 0.044 0.227
O 0.987 0.523 0.730
O 0.183 0.142 0.727
O 0.013 0.743 0.536
O 0.817 0.544 0.959
O 0.817 0.858 0.273
O 0.987 0.257 0.464
O 0.415 0.956 0.773
O 0.208 0.243 0.230
O 0.013 0.477 0.270